{"formula": "Ta2FeO", "functional": "PBE+U", "state": "relaxed", "rho_g_cm3": 11.291, "spacegroup": "No. 122", "energy_ev_per_atom": -8.1691, "lattice_angstrom": [[-2.466, 2.466, 5.246], [2.466, -2.466, 5.246], [2.466, 2.466, -5.246]], "species": ["Ta", "Ta", "Ta", "Ta", "Fe", "Fe", "O", "O"], "fractional_positions": [[0.074, 0.625, 0.949], [0.375, 0.324, 0.449], [0.676, 0.125, 0.051], [0.875, 0.926, 0.551], [0.250, 0.750, 0.500], [0.500, 0.500, 0.000], [0.000, 0.000, 0.000], [0.750, 0.250, 0.500]]}